Arrangement P

Computed, not measured: crystalline Mg2AlP at its relaxed geometry at the PBE-GGA level of DFT.

Cell and atoms, written as POSCAR:
```
Mg2AlP
1.0
-0.4951 1.2003 -3.7459
1.6203 -5.7209 -2.0428
-6.6907 -1.8672 0.2884
Mg Al P
4 2 2
Direct
0.7491 0.4974 0.7420
0.2509 0.5026 0.2580
0.2501 0.9967 0.1694
0.7499 0.0033 0.8306
0.2497 0.8457 0.5288
0.7503 0.1543 0.4712
0.7504 0.2607 0.1297
0.2496 0.7393 0.8703
```

Properties
Space group: P2_1/m (11)
Density: 2.04 Mg/m³
Magnetization: 0.0 μB per formula unit


Arrangement Q

Computed, not measured: crystalline Mg2AlP at its relaxed geometry at the PBE-GGA level of DFT.

Cell and atoms, written as POSCAR:
```
Mg2AlP
1.0
-2.9137 2.1803 6.9785
-7.0497 1.1531 -3.3037
-5.6474 -0.9009 2.3616
P Mg Al
2 4 2
Direct
0.0000 0.0000 0.0000
0.7500 0.2500 0.5000
0.6921 0.1250 0.2500
0.0579 0.6250 0.2500
0.3750 0.3079 0.7500
0.8750 0.9421 0.7500
0.5000 0.5000 0.0000
0.2500 0.7500 0.5000
```

Properties
Space group: I-42d (122)
Density: 2.11 Mg/m³
Magnetization: 0.0 μB per formula unit


Arrangement R

Computed, not measured: crystalline Mg2AlP at its relaxed geometry at the PBE-GGA level of DFT.

Cell and atoms, written as POSCAR:
```
Mg2AlP
1.0
-3.7894 -3.0954 3.5396
-1.4083 -2.1805 5.4527
-2.7897 2.6967 2.1824
Al Mg P
1 2 1
Direct
0.1959 0.1959 0.3047
0.0035 0.0035 0.9963
0.7935 0.7935 0.7069
0.5071 0.5071 0.4922
```

Properties
Space group: Cm (8)
Density: 2.32 Mg/m³
Magnetization: 0.0 μB per formula unit


Arrangement S

Computed, not measured: crystalline Mg2AlP at its relaxed geometry at the PBE-GGA level of DFT.

Cell and atoms, written as POSCAR:
```
Mg2AlP
1.0
6.2853 0.0000 -0.0065
0.0000 4.0118 0.0000
-0.7619 0.0000 6.7394
Mg Al P
4 2 2
Direct
0.5884 0.5000 0.8872
0.8411 0.0000 0.2318
0.2976 0.0000 0.1343
0.2449 0.5000 0.5125
0.9346 0.0000 0.7894
0.8096 0.5000 0.5434
0.5409 0.5000 0.2656
0.3230 0.0000 0.7604
```

Properties
Space group: Pm (6)
Density: 2.08 Mg/m³
Magnetization: 0.0 μB per formula unit


arrangement S comes first in stability; the runner-up is 0.029 eV/atom higher.


Arrangement P

Computed, not measured: crystalline Mg2AlP at its relaxed geometry at the PBE-GGA level of DFT.

Cell and atoms, written as POSCAR:
```
Mg2AlP
1.0
4.0153 0.1741 -0.0774
-1.7467 5.6673 -0.0151
-2.1976 -1.4690 7.1903
Mg Al P
4 2 2
Direct
0.6100 0.3354 0.0536
0.8548 0.1660 0.7121
0.1583 0.7786 0.9123
0.0534 0.7458 0.4910
0.5689 0.0113 0.3041
0.2456 0.2786 0.4292
0.4634 0.5174 0.7405
0.3209 0.5867 0.2326
```

Properties
Space group: P1 (1)
Density: 2.15 Mg/m³
Magnetization: 0.0 μB per formula unit


Arrangement Q

Computed, not measured: crystalline Mg2AlP at its relaxed geometry at the PBE-GGA level of DFT.

Cell and atoms, written as POSCAR:
```
Mg2AlP
1.0
3.4937 0.0000 0.0000
0.0000 3.6385 0.2170
0.0000 3.3169 5.9333
Al Mg P
1 2 1
Direct
0.5000 0.7500 0.7500
0.0000 0.9852 0.0132
0.0000 0.5148 0.4868
0.5000 0.2500 0.2500
```

Properties
Space group: P2/m (10)
Density: 2.43 Mg/m³
Magnetization: 0.0 μB per formula unit


arrangement P comes first in stability; the runner-up is 0.114 eV/atom higher.


Arrangement P

Computed, not measured: crystalline MgAlPPb2 at its relaxed geometry at the PBE-GGA level of DFT.

Cell and atoms, written as POSCAR:
```
MgAlPPb2
1.0
-1.6791 -0.9761 -5.3607
5.4442 -0.0703 -1.6924
0.1782 -4.4757 0.7592
Pb P Mg Al
2 1 1 1
Direct
0.0000 0.5000 0.0000
0.5000 0.0000 0.0000
0.0000 0.0000 0.0000
0.5000 0.5000 0.5000
0.0000 0.0000 0.5000
```

Properties
Space group: P4/mmm (123)
Density: 5.58 Mg/m³
Magnetization: 0.0 μB per formula unit


Arrangement Q

Computed, not measured: crystalline MgAlPPb2 at its relaxed geometry at the PBE-GGA level of DFT.

Cell and atoms, written as POSCAR:
```
MgAlPPb2
1.0
-1.1976 -3.6561 4.1046
4.2396 0.6696 1.8335
-2.0251 4.1989 3.1492
Pb P Mg Al
2 1 1 1
Direct
0.0000 0.0000 0.5000
0.5000 0.0000 0.0000
0.0000 0.5000 0.0000
0.0000 0.0000 0.0000
0.5000 0.5000 0.5000
```

Properties
Space group: P4/mmm (123)
Density: 5.58 Mg/m³
Magnetization: 0.0 μB per formula unit


arrangement P comes first in stability; the runner-up is 0.295 eV/atom higher.


Arrangement P

Computed, not measured: crystalline Mg2Al2Pb at its relaxed geometry at the PBE-GGA level of DFT.

Cell and atoms, written as POSCAR:
```
Mg2Al2Pb
1.0
-3.3572 7.2536 -2.5375
-7.5879 -2.6913 2.3462
0.4579 1.2193 2.8796
Pb Mg Al
2 4 4
Direct
0.0000 0.0000 0.0000
0.5000 0.5000 0.0000
0.1815 0.6815 0.5000
0.6815 0.8185 0.5000
0.8185 0.3185 0.5000
0.3185 0.1815 0.5000
0.3862 0.8862 0.0000
0.8862 0.6138 0.0000
0.6138 0.1138 0.0000
0.1138 0.3862 0.0000
```

Properties
Space group: P4/mbm (127)
Density: 4.63 Mg/m³
Magnetization: 0.0 μB per formula unit


Arrangement Q

Computed, not measured: crystalline Mg2Al2Pb at its relaxed geometry at the PBE-GGA level of DFT.

Cell and atoms, written as POSCAR:
```
Mg2Al2Pb
1.0
-2.5499 -6.5972 -4.7542
7.7642 -0.4941 -3.4786
0.8885 -1.9747 2.2636
Pb Mg Al
2 4 4
Direct
0.0000 0.0000 0.0000
0.5000 0.5000 0.0000
0.3753 0.8753 0.0000
0.8753 0.6247 0.0000
0.6247 0.1247 0.0000
0.1247 0.3753 0.0000
0.1730 0.6730 0.5000
0.6730 0.8270 0.5000
0.8270 0.3270 0.5000
0.3270 0.1730 0.5000
```

Properties
Space group: P4/mbm (127)
Density: 4.52 Mg/m³
Magnetization: 0.0 μB per formula unit


arrangement P comes first in stability; the runner-up is 0.076 eV/atom higher.


Arrangement P

Computed, not measured: crystalline Mg6AlPb2 at its relaxed geometry at the PBE-GGA level of DFT.

Cell and atoms, written as POSCAR:
```
Mg6AlPb2
1.0
4.6979 -0.0002 -1.0512
-0.7576 5.9098 -3.3869
-0.5981 0.7089 8.3050
Mg Al Pb
6 1 2
Direct
0.8422 0.5983 0.6804
0.1578 0.9180 0.3196
0.1578 0.4017 0.3196
0.5000 0.7658 0.0000
0.8422 0.0820 0.6804
0.5000 0.2342 0.0000
0.0000 0.0000 0.0000
0.3354 0.3334 0.6667
0.6646 0.6666 0.3333
```

Properties
Space group: C2/m (12)
Density: 4.08 Mg/m³
Magnetization: 0.0 μB per formula unit


Arrangement Q

Computed, not measured: crystalline Mg6AlPb2 at its relaxed geometry at the PBE-GGA level of DFT.

Cell and atoms, written as POSCAR:
```
Mg6AlPb2
1.0
-2.5477 -1.4650 2.0615
0.0542 -6.7933 -4.7606
5.0347 0.4972 6.5753
Mg Al Pb
6 1 2
Direct
0.5000 0.6380 0.0000
0.5000 0.3618 0.3618
0.5000 0.0000 0.6382
0.0000 0.2714 0.0000
0.0000 0.7288 0.7289
0.0000 0.9999 0.2711
0.5000 0.0001 0.0000
0.0000 0.3332 0.6665
0.0000 0.6667 0.3335
```

Properties
Space group: P-62m (189)
Density: 4.56 Mg/m³
Magnetization: 0.0 μB per formula unit


arrangement Q comes first in stability; the runner-up is 0.039 eV/atom higher.